[1]
# ScCuTc

ScCuTc after structural relaxation (PBE, the Alexandria database). Values from VASP.

Structure (Quantum ESPRESSO input):
```
&SYSTEM
  ibrav = 0, nat = 3, ntyp = 3
/
ATOMIC_SPECIES
Cu 63.55 Cu.upf
Sc 44.96 Sc.upf
Tc 98.00 Tc.upf
CELL_PARAMETERS angstrom
-2.3011 -5.5010 -2.0051
0.2768 -5.4404 -3.1457
0.9064 -1.8158 1.9574
ATOMIC_POSITIONS crystal
Cu 0.0084 0.0084 0.9916
Sc 0.3348 0.3348 0.6652
Tc 0.6568 0.6568 0.3432
```

Formation enthalpy at 0 K: 0.11 eV/atom
Symmetry: I4mm
Calculated volume: 15.81 Å³ per atom

=====

[2]
# ScCuTc2

ScCuTc2 after structural relaxation (PBE, the Alexandria database). Values from VASP.

Structure (Quantum ESPRESSO input):
```
&SYSTEM
  ibrav = 0, nat = 4, ntyp = 3
/
ATOMIC_SPECIES
Tc 98.00 Tc.upf
Sc 44.96 Sc.upf
Cu 63.55 Cu.upf
CELL_PARAMETERS angstrom
-1.7536 -1.7118 -1.0340
1.9283 -1.8118 -0.2708
-1.7142 -3.0018 7.8764
ATOMIC_POSITIONS crystal
Tc 0.0000 0.0000 0.4802
Tc 0.0000 0.0000 0.0198
Sc 0.5000 0.5000 0.7500
Cu 0.5000 0.5000 0.2500
```

Formation enthalpy at 0 K: 0.20 eV/atom
Symmetry: P4/mmm
Calculated volume: 15.21 Å³ per atom

=====

[3]
# ScCuTc2

ScCuTc2 after structural relaxation (PBE, the Alexandria database). Values from VASP.

Structure (Quantum ESPRESSO input):
```
&SYSTEM
  ibrav = 0, nat = 4, ntyp = 3
/
ATOMIC_SPECIES
Sc 44.96 Sc.upf
Tc 98.00 Tc.upf
Cu 63.55 Cu.upf
CELL_PARAMETERS angstrom
-3.7546 2.6006 0.7822
-0.0447 -0.9102 2.8115
2.6792 3.3805 1.6212
ATOMIC_POSITIONS crystal
Sc 0.5000 0.7500 0.7500
Tc 0.0000 0.4323 0.4986
Cu 0.5000 0.2500 0.2500
Tc 0.0000 0.0677 0.0014
```

Formation enthalpy at 0 K: 0.10 eV/atom
Symmetry: P2/m
Calculated volume: 15.70 Å³ per atom

=====

[4]
# ScCuTc

ScCuTc after structural relaxation (PBE, the Alexandria database). Values from VASP.

Structure (Quantum ESPRESSO input):
```
&SYSTEM
  ibrav = 0, nat = 3, ntyp = 3
/
ATOMIC_SPECIES
Tc 98.00 Tc.upf
Sc 44.96 Sc.upf
Cu 63.55 Cu.upf
CELL_PARAMETERS angstrom
4.5116 0.0000 0.0000
-2.2558 3.9072 0.0000
0.0000 0.0000 2.6934
ATOMIC_POSITIONS crystal
Tc 0.6667 0.3333 0.7344
Sc 0.3333 0.6667 0.3207
Cu 0.0000 0.0000 0.9449
```

Formation enthalpy at 0 K: 0.13 eV/atom
Symmetry: P3m1
Calculated volume: 15.83 Å³ per atom

=====

| no. | magnetization (μB per atom) |
| --- | --- |
| 1 | 0.000 |
| 2 | 0.000 |
| 3 | 0.000 |
| 4 | 0.000 |